# 1
{"formula": "HoTmRh2", "functional": "PBEsol", "state": "optimized geometry", "lattice": [[0.000, 3.339, 3.339], [3.339, 0.000, 3.339], [3.339, 3.339, 0.000]], "species": ["Ho", "Tm", "Rh", "Rh"], "frac_coords": [[0.000, 0.000, 0.000], [0.500, 0.500, 0.500], [0.250, 0.250, 0.250], [0.750, 0.750, 0.750]], "spacegroup": "No. 225", "formation_energy_ev_per_atom": -0.90}

---

# 2
{"formula": "HoZnRh2", "functional": "PBEsol", "state": "optimized geometry", "lattice": [[0.000, 3.158, 3.158], [3.158, 0.000, 3.158], [3.158, 3.158, 0.000]], "species": ["Ho", "Zn", "Rh", "Rh"], "frac_coords": [[0.000, 0.000, 0.000], [0.500, 0.500, 0.500], [0.250, 0.250, 0.250], [0.750, 0.750, 0.750]], "spacegroup": "No. 225", "formation_energy_ev_per_atom": -0.64}

---

# 3
{"formula": "HoSiRu", "functional": "PBEsol", "state": "optimized geometry", "lattice": [[6.889, 0.000, 0.000], [0.000, 4.282, 0.000], [0.000, 0.000, 6.984]], "species": ["Ho", "Ho", "Ho", "Ho", "Si", "Si", "Si", "Si", "Ru", "Ru", "Ru", "Ru"], "frac_coords": [[0.015, 0.250, 0.186], [0.485, 0.750, 0.686], [0.515, 0.250, 0.314], [0.985, 0.750, 0.814], [0.196, 0.250, 0.608], [0.304, 0.750, 0.108], [0.696, 0.250, 0.892], [0.804, 0.750, 0.392], [0.154, 0.750, 0.434], [0.346, 0.250, 0.934], [0.654, 0.750, 0.066], [0.846, 0.250, 0.566]], "spacegroup": "No. 62", "e_form_raw_ev_per_atom": -0.87}

---

# 4
{"formula": "HoThRu2", "functional": "PBEsol", "state": "optimized geometry", "lattice": [[0.000, 3.421, 3.421], [3.421, 0.000, 3.421], [3.421, 3.421, 0.000]], "species": ["Ho", "Th", "Ru", "Ru"], "frac_coords": [[0.000, 0.000, 0.000], [0.500, 0.500, 0.500], [0.250, 0.250, 0.250], [0.750, 0.750, 0.750]], "spacegroup": "No. 225", "formation_energy_ev_per_atom": -0.36}

---

# 5
{"formula": "YHoRu2", "functional": "PBEsol", "state": "optimized geometry", "lattice": [[0.000, 3.338, 3.338], [3.338, 0.000, 3.338], [3.338, 3.338, 0.000]], "species": ["Y", "Ho", "Ru", "Ru"], "frac_coords": [[0.000, 0.000, 0.000], [0.500, 0.500, 0.500], [0.250, 0.250, 0.250], [0.750, 0.750, 0.750]], "spacegroup": "No. 225", "formation_energy_ev_per_atom": -0.26}

---

# 6
{"formula": "Ho2ZnRu", "functional": "PBEsol", "state": "optimized geometry", "lattice": [[0.000, 3.396, 3.396], [3.396, 0.000, 3.396], [3.396, 3.396, 0.000]], "species": ["Ho", "Ho", "Zn", "Ru"], "frac_coords": [[0.250, 0.250, 0.250], [0.750, 0.750, 0.750], [0.000, 0.000, 0.000], [0.500, 0.500, 0.500]], "spacegroup": "No. 225", "formation_energy_ev_per_atom": -0.35}

---

# 7
{"formula": "HoZrRu2", "functional": "PBEsol", "state": "optimized geometry", "lattice": [[0.000, 3.274, 3.274], [3.274, 0.000, 3.274], [3.274, 3.274, 0.000]], "species": ["Ho", "Zr", "Ru", "Ru"], "frac_coords": [[0.000, 0.000, 0.000], [0.500, 0.500, 0.500], [0.250, 0.250, 0.250], [0.750, 0.750, 0.750]], "spacegroup": "No. 225", "formation_energy_ev_per_atom": -0.48}

---

# 8
{"formula": "HoS", "functional": "PBEsol", "state": "optimized geometry", "lattice": [[0.000, 2.707, 2.707], [2.707, 0.000, 2.707], [2.707, 2.707, 0.000]], "species": ["Ho", "S"], "frac_coords": [[0.000, 0.000, 0.000], [0.500, 0.500, 0.500]], "spacegroup": "No. 225", "e_form_raw_ev_per_atom": -2.10}